Record 1
# MnBiSbN2

An optimized crystal structure of MnBiSbN2 (PBE, the Alexandria database).

a = 4.1461 Å, b = 4.1461 Å, c = 6.7410 Å
α = 90.00°, β = 90.00°, γ = 90.00°
Closest atoms and distances in Å follow each position.
Sites, in units of the cell vectors:
1 Mn 0.0000 0.0000 0.0000  4 Sb 2.93
2 Bi 0.5000 0.5000 0.5000  4 N 2.07
3 Sb 0.5000 0.5000 0.0000  4 Mn 2.93
4 N 0.0000 0.5000 0.5000  2 Bi 2.07
5 N 0.5000 0.0000 0.5000  2 Bi 2.07

Output
Total magnetization, μB per atom: 0.026
SG: P4/mmm
Formation energy from raw total energies, eV per atom: 2.28

---

Record 2
# MnBiSeN2

An optimized crystal structure of MnBiSeN2 (PBE, the Alexandria database).

a = 4.2253 Å, b = 4.2253 Å, c = 5.9888 Å
α = 90.00°, β = 90.00°, γ = 90.00°
Closest atoms and distances in Å follow each position.
Sites, in units of the cell vectors:
1 Mn 0.0000 0.0000 0.0000  4 Se 2.99
2 Bi 0.5000 0.5000 0.5000  4 N 2.11
3 Se 0.5000 0.5000 0.0000  4 Mn 2.99, 2 Bi 2.99
4 N 0.0000 0.5000 0.5000  2 Bi 2.11
5 N 0.5000 0.0000 0.5000  2 Bi 2.11

Output
Polymorph energy (0 for the lowest one), eV per atom: 0.7881
Total magnetization, μB per atom: 1.269
SG: P4/mmm
Formation energy from raw total energies, eV per atom: 1.52

---

Record 3
# MnBiSeN2

An optimized crystal structure of MnBiSeN2 (PBE, the Alexandria database).

a = 3.9373 Å, b = 3.9373 Å, c = 5.0069 Å
α = 90.00°, β = 90.00°, γ = 90.00°
Closest atoms and distances in Å follow each position.
Sites, in units of the cell vectors:
1 Mn 0.0000 0.0000 0.0000  4 N 1.97
2 Bi 0.5000 0.5000 0.5000  4 Se 2.78
3 Se 0.0000 0.0000 0.5000  2 Mn 2.50, 4 Bi 2.78
4 N 0.0000 0.5000 0.0000  2 Mn 1.97
5 N 0.5000 0.0000 0.0000  2 Mn 1.97

Output
Polymorph energy (0 for the lowest one), eV per atom: 0.0000
Total magnetization, μB per atom: 0.304
SG: P4/mmm
Formation energy from raw total energies, eV per atom: 0.73

---

Record 4
# NaMn3Bi

An optimized crystal structure of NaMn3Bi (PBE, the Alexandria database).

a = 4.8068 Å, b = 4.8068 Å, c = 4.8068 Å
α = 90.00°, β = 90.00°, γ = 90.00°
Closest atoms and distances in Å follow each position.
Sites, in units of the cell vectors:
1 Na 0.0000 0.0000 0.0000  6 Mn 2.40
2 Mn 0.0000 0.0000 0.5000  2 Na 2.40
3 Mn 0.0000 0.5000 0.0000  2 Na 2.40
4 Mn 0.5000 0.0000 0.0000  2 Na 2.40
5 Bi 0.5000 0.5000 0.5000  12 Mn 3.40

Output
Polymorph energy (0 for the lowest one), eV per atom: 0.2882
Total magnetization, μB per atom: 2.359
SG: Pm-3m
ΔE_f, eV/f.u.: 6.943

---

Record 5
# Na2MnBi

An optimized crystal structure of Na2MnBi (PBE, the Alexandria database).

a = 6.8932 Å, b = 6.8932 Å, c = 6.8932 Å
α = 99.92°, β = 99.92°, γ = 130.95°
Closest atoms and distances in Å follow each position.
Sites, in units of the cell vectors:
1 Na 0.1202 0.6250 0.9952  2 Na 2.86, 2 Mn 3.19
2 Na 0.3750 0.3702 0.4952  2 Na 2.86, 2 Mn 3.19
3 Na 0.6298 0.1250 0.0048  2 Na 2.86, 2 Mn 3.19
4 Na 0.8750 0.8798 0.5048  2 Na 2.86, 2 Mn 3.19
5 Mn 0.0000 0.0000 0.0000  2 Bi 2.86, 4 Na 3.19
6 Mn 0.7500 0.2500 0.5000  2 Bi 2.86, 4 Na 3.19
7 Bi 0.2500 0.7500 0.5000  2 Mn 2.86
8 Bi 0.5000 0.5000 0.0000  2 Mn 2.86

Output
Total magnetization, μB per atom: 1.055
SG: I-42d
ΔE_f, eV/f.u.: 1.464

---

Record 6
# NaMnBi3

An optimized crystal structure of NaMnBi3 (PBE, the Alexandria database).

a = 5.2429 Å, b = 5.2429 Å, c = 5.2429 Å
α = 90.00°, β = 90.00°, γ = 90.00°
Closest atoms and distances in Å follow each position.
Sites, in units of the cell vectors:
1 Na 0.0000 0.0000 0.0000  12 Bi 3.71
2 Mn 0.5000 0.5000 0.5000  6 Bi 2.62
3 Bi 0.0000 0.5000 0.5000  2 Mn 2.62
4 Bi 0.5000 0.0000 0.5000  2 Mn 2.62
5 Bi 0.5000 0.5000 0.0000  2 Mn 2.62

Output
Polymorph energy (0 for the lowest one), eV per atom: 0.0000
Total magnetization, μB per atom: 0.002
SG: Pm-3m
ΔE_f, eV/f.u.: 1.727

---

Record 7
# NaMnBi3

An optimized crystal structure of NaMnBi3 (PBE, the Alexandria database).

a = 5.4111 Å, b = 5.4111 Å, c = 5.4111 Å
α = 90.00°, β = 90.00°, γ = 90.00°
Closest atoms and distances in Å follow each position.
Sites, in units of the cell vectors:
1 Na 0.0000 0.0000 0.0000  6 Bi 2.71
2 Mn 0.5000 0.5000 0.5000  12 Bi 3.83
3 Bi 0.0000 0.0000 0.5000  2 Na 2.71
4 Bi 0.0000 0.5000 0.0000  2 Na 2.71
5 Bi 0.5000 0.0000 0.0000  2 Na 2.71

Output
Polymorph energy (0 for the lowest one), eV per atom: 1.0829
Total magnetization, μB per atom: 0.112
SG: Pm-3m
ΔE_f, eV/f.u.: 7.141

---

Record 8
# NaMn2Bi

An optimized crystal structure of NaMn2Bi (PBE, the Alexandria database).

a = 6.4726 Å, b = 6.4726 Å, c = 6.4726 Å
α = 102.11°, β = 102.11°, γ = 125.47°
Closest atoms and distances in Å follow each position.
Sites, in units of the cell vectors:
1 Na 0.0000 0.0000 0.0000  2 Bi 2.97, 4 Mn 3.11
2 Na 0.7500 0.2500 0.5000  2 Bi 2.97, 4 Mn 3.11
3 Mn 0.1490 0.6250 0.0240  2 Bi 2.84, 2 Mn 2.99, 2 Na 3.11
4 Mn 0.3750 0.3990 0.5240  2 Bi 2.84, 2 Mn 2.99, 2 Na 3.11
5 Mn 0.6010 0.1250 0.9760  2 Bi 2.84, 2 Mn 2.99, 2 Na 3.11
6 Mn 0.8750 0.8510 0.4760  2 Bi 2.84, 2 Mn 2.99, 2 Na 3.11
7 Bi 0.2500 0.7500 0.5000  4 Mn 2.84, 2 Na 2.97
8 Bi 0.5000 0.5000 0.0000  4 Mn 2.84, 2 Na 2.97

Output
Total magnetization, μB per atom: 2.073
SG: I-42d
ΔE_f, eV/f.u.: 2.856

---

Record 9
# Na2Mn2Bi

An optimized crystal structure of Na2Mn2Bi (PBE, the Alexandria database).

a = 10.8536 Å, b = 10.8536 Å, c = 10.8536 Å
α = 163.07°, β = 163.07°, γ = 24.03°
Closest atoms and distances in Å follow each position.
Sites, in units of the cell vectors:
1 Na 0.1225 0.1225 0.0000  4 Mn 3.14, 4 Na 3.20, 4 Bi 3.44
2 Na 0.8775 0.8775 0.0000  4 Mn 3.14, 4 Na 3.20, 4 Bi 3.44
3 Mn 0.2500 0.7500 0.5000  4 Mn 2.26
4 Mn 0.7500 0.2500 0.5000  4 Mn 2.26
5 Bi 0.5000 0.5000 0.0000  4 Bi 3.20, 8 Na 3.44

Output
Polymorph energy (0 for the lowest one), eV per atom: 0.0000
Total magnetization, μB per atom: 0.327
SG: I4/mmm
ΔE_f, eV/f.u.: 2.193

---

Record 10
# Na3MnBi

An optimized crystal structure of Na3MnBi (PBE, the Alexandria database).

a = 5.9787 Å, b = 5.9787 Å, c = 5.9787 Å
α = 90.00°, β = 90.00°, γ = 90.00°
Closest atoms and distances in Å follow each position.
Sites, in units of the cell vectors:
1 Na 0.0000 0.0000 0.5000  2 Bi 2.99
2 Na 0.0000 0.5000 0.0000  2 Bi 2.99
3 Na 0.5000 0.0000 0.0000  2 Bi 2.99
4 Mn 0.5000 0.5000 0.5000  12 Na 4.23
5 Bi 0.0000 0.0000 0.0000  6 Na 2.99

Output
Polymorph energy (0 for the lowest one), eV per atom: 0.0000
Total magnetization, μB per atom: 1.000
SG: Pm-3m
ΔE_f, eV/f.u.: 2.345

---

Record 11
# Na2Mn2Bi

An optimized crystal structure of Na2Mn2Bi (PBE, the Alexandria database).

a = 8.7613 Å, b = 8.7613 Å, c = 3.1448 Å
α = 90.00°, β = 90.00°, γ = 90.00°
Closest atoms and distances in Å follow each position.
Sites, in units of the cell vectors:
1 Na 0.1240 0.3760 0.0000  6 Mn 2.96-3.08, 3 Na 3.07-3.14
2 Na 0.3760 0.8760 0.0000  6 Mn 2.96-3.08, 3 Na 3.07-3.14
3 Na 0.6240 0.1240 0.0000  6 Mn 2.96-3.08, 3 Na 3.07-3.14
4 Na 0.8760 0.6240 0.0000  6 Mn 2.96-3.08, 3 Na 3.07-3.14
5 Mn 0.1737 0.6737 0.5000  6 Na 2.96-3.08, 2 Mn 3.14
6 Mn 0.3263 0.1737 0.5000  6 Na 2.96-3.08, 2 Mn 3.14
7 Mn 0.6737 0.8263 0.5000  6 Na 2.96-3.08, 2 Mn 3.14
8 Mn 0.8263 0.3263 0.5000  6 Na 2.96-3.08, 2 Mn 3.14
9 Bi 0.0000 0.0000 0.0000  2 Bi 3.14, 4 Na 3.47
10 Bi 0.5000 0.5000 0.0000  2 Bi 3.14, 4 Na 3.47

Output
Polymorph energy (0 for the lowest one), eV per atom: 0.2735
Total magnetization, μB per atom: 1.676
SG: P4/mbm
ΔE_f, eV/f.u.: 3.561

---

Record 12
# NaMn3Bi

An optimized crystal structure of NaMn3Bi (PBE, the Alexandria database).

a = 5.2240 Å, b = 5.2240 Å, c = 5.2240 Å
α = 90.00°, β = 90.00°, γ = 90.00°
Closest atoms and distances in Å follow each position.
Sites, in units of the cell vectors:
1 Na 0.0000 0.0000 0.0000  12 Mn 3.69
2 Mn 0.0000 0.5000 0.5000  2 Bi 2.61
3 Mn 0.5000 0.0000 0.5000  2 Bi 2.61
4 Mn 0.5000 0.5000 0.0000  2 Bi 2.61
5 Bi 0.5000 0.5000 0.5000  6 Mn 2.61

Output
Polymorph energy (0 for the lowest one), eV per atom: 0.0000
Total magnetization, μB per atom: 2.244
SG: Pm-3m
ΔE_f, eV/f.u.: 5.502

---

Number 1: density of states at the Fermi level 13.43 states/eV/f.u.. Number 2: density of states at the Fermi level 3.00 states/eV/f.u.. Number 3: density of states at the Fermi level 3.34 states/eV/f.u.. Number 4: density of states at the Fermi level 5.38 states/eV/f.u.. Number 5: density of states at the Fermi level 2.58 states/eV/f.u.. Number 6: density of states at the Fermi level 10.57 states/eV/f.u.. Number 7: density of states at the Fermi level 4.70 states/eV/f.u.. Number 8: density of states at the Fermi level 3.12 states/eV/f.u.. Number 9: density of states at the Fermi level 3.00 states/eV/f.u.. Number 10: density of states at the Fermi level 0.11 states/eV/f.u.. Number 11: density of states at the Fermi level 3.06 states/eV/f.u.. Number 12: density of states at the Fermi level 7.12 states/eV/f.u..